A PBEsol-optimized structure of TaZn2Cu. Source: Alexandria, functional SCAN.

Cell and atoms, written as POSCAR:
```
TaZn2Cu
1.0
-2.3817 -0.1867 -1.4524
-1.2275 -1.2577 2.1745
-2.0353 6.3464 2.5217
Cu Zn Ta
1 2 1
Direct
0.5000 0.5000 0.0000
0.0000 0.0000 0.2217
0.0000 0.0000 0.7783
0.5000 0.5000 0.5000
```

## Properties
For the offset from the most stable computed form, the calculation gives 0 meV per atom. Its space-group type is P4/mmm, No. 123. The calculation puts the total magnetization at 0.00 μB/f.u.